Entry 1:
Compound: Er2AgRu
Source: the Alexandria database
Functional: GGA-PBEsol
Structure: optimized geometry

The electronic total energy is -6.208 eV/atom.

It has space group Fm-3m (No. 225), with a = 6.8237 Å, b = 6.8237 Å, c = 6.8237 Å, α = 90.00°, β = 90.00° and γ = 90.00°. The distinct sites, in fractional coordinates, are Er at (0.2500, 0.2500, 0.2500), Ag at (0.0000, 0.0000, 0.0000) and Ru at (0.0000, 0.0000, 0.5000).



Entry 2:
Compound: ReF6
Source: the Alexandria database
Functional: GGA-PBEsol
Structure: optimized geometry

As for the polymorph energy (0 for the lowest one): 0.012 eV per atom.

It has space group Im-3m (No. 229), with a = 6.4218 Å, b = 6.4218 Å, c = 6.4218 Å, α = 90.00°, β = 90.00° and γ = 90.00°. The distinct sites, in fractional coordinates, are Re at (0.0000, 0.0000, 0.0000) and F at (0.0000, 0.0000, 0.2885).



Entry 3:
Compound: NdAl10Fe2
Source: the Alexandria database
Functional: GGA-PBEsol
Structure: optimized geometry

The electronic total energy is -5.284 eV/atom.

It has space group Cmcm (No. 63), with a = 8.9038 Å, b = 10.1115 Å, c = 8.9505 Å, α = 90.00°, β = 90.00° and γ = 90.00°. The distinct sites, in fractional coordinates, are Nd at (0.0000, 0.1229, 0.2500), Al at (0.0000, 0.1616, 0.5976), Al at (0.0000, 0.3756, 0.0512), Al at (0.1502, 0.3713, 0.7500), Al at (0.2283, 0.0000, 0.0000), Al at (0.2280, 0.3596, 0.2500) and Fe at (0.2500, 0.2500, 0.0000).